Entry 1:
Pr3P4Pd2, optimized geometry, DFT GGA-PBE; energy of formation = -1.124 eV/atom; magnetization = 0.000 μB per atom
1.0
4.112 0.000 0.000
-2.056 6.660 -0.250
0.000 -3.258 7.519
P Pr Pd
4 3 2
Cartesian
2.056 1.949 0.731
0.000 1.453 6.538
0.000 -0.822 2.983
2.056 4.224 4.286
2.056 -0.309 5.527
0.000 3.711 1.742
0.000 0.000 0.000
2.056 0.330 2.518
0.000 3.072 4.751

---

Entry 2:
PrP6Pd12, optimized geometry, DFT GGA-PBE; energy of formation = -0.493 eV/atom; magnetization = 0.000 μB per atom
1.0
-4.465 -3.441 4.156
-2.040 -1.854 -6.438
6.010 -3.494 0.852
Pr Pd P
1 12 6
Cartesian
0.000 0.000 0.000
0.326 -3.451 1.090
-1.474 -5.765 0.331
-1.840 -3.010 -0.872
-4.155 -4.375 0.517
0.979 -3.024 -1.761
2.755 -5.006 2.004
3.659 -4.414 -1.948
0.657 -3.802 -4.667
-3.250 -3.783 -3.435
-0.822 -5.338 -2.520
1.344 -5.780 -0.558
-1.152 -4.987 3.236
-3.006 -5.188 -1.465
-2.069 -3.578 1.479
0.513 -5.905 1.721
1.573 -5.211 -2.910
-1.009 -2.884 -3.152
2.510 -3.601 0.035

---

Entry 3:
PrP3Pd3, optimized geometry, DFT GGA-PBE; energy of formation = -0.532 eV/atom; magnetization = 0.000 μB per atom
1.0
3.542 0.000 0.000
0.000 8.994 0.000
0.000 -4.497 7.789
P Pd Pr
6 6 2
Cartesian
0.886 -0.824 7.452
2.657 5.321 0.338
0.886 2.368 4.777
2.657 2.129 3.012
0.886 -1.544 3.350
2.657 6.041 4.439
2.657 -0.098 2.105
0.886 7.122 0.967
2.657 2.723 6.651
0.886 4.595 5.684
0.886 1.774 1.138
2.657 -2.625 6.822
0.886 4.497 2.596
2.657 0.000 5.193